[1]
Below is TmZrPaN3 after structural relaxation, with properties calculated at the PBE level.

abc: 6.889 3.292 8.504
angles: 90.00 92.59 90.00
Space group P2_1/m (No. 11)
Asymmetric unit:
1 Tm 0.113 0.250 0.355 [2 per cell]
2 Zr 0.325 0.750 0.057 [2 per cell]
3 Pa 0.377 0.750 0.665 [2 per cell]
4 N 0.138 0.250 0.616 [2 per cell]
5 N 0.362 0.250 0.891 [2 per cell]
6 N 0.363 0.750 0.361 [2 per cell]

Values from the calculation:
Formation energy (no corrections) = -130.1 kJ/mol of atoms

[2]
Below is TmZr2PaN4 after structural relaxation, with properties calculated at the PBE level.

abc: 5.813 3.350 5.817
angles: 90.00 109.31 90.00
Space group P2/m (No. 10)
Asymmetric unit:
1 Tm 0.000 0.000 0.000 [1 per cell]
2 Zr 0.000 0.500 0.500 [1 per cell]
3 Zr 0.500 0.000 0.500 [1 per cell]
4 Pa 0.500 0.500 0.000 [1 per cell]
5 N 0.245 0.000 0.741 [2 per cell]
6 N 0.255 0.500 0.256 [2 per cell]

Values from the calculation:
Formation energy (no corrections) = -166.3 kJ/mol of atoms

[3]
Below is Tm2Zr3PaN6 after structural relaxation, with properties calculated at the PBE level.

abc: 5.778 10.033 5.804
angles: 90.00 109.20 90.00
Space group C2/m (No. 12)
Asymmetric unit:
1 Tm 0.000 0.167 0.000 [4 per cell]
2 Zr 0.000 0.000 0.500 [2 per cell]
3 Zr 0.000 0.329 0.500 [4 per cell]
4 Pa 0.000 0.500 0.000 [2 per cell]
5 N 0.244 0.500 0.745 [4 per cell]
6 N 0.249 0.165 0.743 [8 per cell]

Values from the calculation:
Formation energy (no corrections) = -168.5 kJ/mol of atoms

[4]
Below is Tm2ZrPaN4 after structural relaxation, with properties calculated at the PBE level.

abc: 5.865 3.392 5.875
angles: 90.00 109.14 90.00
Space group P2/m (No. 10)
Asymmetric unit:
1 Tm 0.000 0.000 0.000 [1 per cell]
2 Tm 0.500 0.500 0.000 [1 per cell]
3 Zr 0.000 0.500 0.500 [1 per cell]
4 Pa 0.500 0.000 0.500 [1 per cell]
5 N 0.247 0.000 0.740 [2 per cell]
6 N 0.247 0.500 0.253 [2 per cell]

Values from the calculation:
Formation energy (no corrections) = -167.2 kJ/mol of atoms

[5]
Below is U3Pa2N4 after structural relaxation, with properties calculated at the PBE level.

abc: 11.563 3.389 8.540
angles: 90.00 120.75 90.00
Space group C2/m (No. 12)
Asymmetric unit:
1 U 0.000 0.000 0.000 [2 per cell]
2 U 0.197 0.000 0.799 [4 per cell]
3 Pa 0.099 0.500 0.397 [4 per cell]
4 N 0.105 0.500 0.908 [4 per cell]
5 N 0.199 0.000 0.300 [4 per cell]

Values from the calculation:
Formation energy (no corrections) = -109.0 kJ/mol of atoms

[6]
Below is U2Pa2N7 after structural relaxation, with properties calculated at the PBE level.

abc: 7.446 7.769 5.393
angles: 90.00 90.00 90.00
Space group Cmmm (No. 65)
Asymmetric unit:
1 U 0.000 0.233 0.000 [4 per cell]
2 Pa 0.238 0.000 0.500 [4 per cell]
3 N 0.000 0.000 0.249 [4 per cell]
4 N 0.000 0.500 0.000 [2 per cell]
5 N 0.250 0.250 0.253 [8 per cell]

Values from the calculation:
Polymorph energy (0 for the lowest one) = 151 meV/atom
Formation energy (no corrections) = -138.9 kJ/mol of atoms

[7]
Below is UPaN after structural relaxation, with properties calculated at the PBE level.

abc: 4.5108 4.5108 2.9871
angles: 90.00 90.00 120.00
Space group P-6m2 (No. 187)
Asymmetric unit:
1 U 0.0000 0.0000 0.0000 [1 per cell]
2 Pa 0.3333 0.6667 0.0000 [1 per cell]
3 N 0.6667 0.3333 0.0000 [1 per cell]

Values from the calculation:
Polymorph energy (0 for the lowest one) = 1204 meV/atom
Formation energy (no corrections) = 51.9 kJ/mol of atoms

[8]
Below is UPa2N4 after structural relaxation, with properties calculated at the PBE level.

abc: 9.838 9.838 9.838
angles: 90.00 90.00 90.00
Space group Fd-3m (No. 227, origin choice 2)
Asymmetric unit:
1 U 0.125 0.125 0.125 [8 per cell]
2 Pa 0.000 0.000 0.500 [16 per cell]
3 N 0.012 0.012 0.738 [32 per cell]

Values from the calculation:
Formation energy (no corrections) = -129.0 kJ/mol of atoms

[9]
Below is UPaN3 after structural relaxation, with properties calculated at the PBE level.

abc: 6.638 6.232 7.335
angles: 90.00 97.66 90.00
Space group P2_1/c (No. 14)
Asymmetric unit:
1 U 0.104 0.235 0.453 [4 per cell]
2 Pa 0.360 0.689 0.324 [4 per cell]
3 N 0.010 0.566 0.325 [4 per cell]
4 N 0.224 0.609 0.027 [4 per cell]
5 N 0.411 0.164 0.867 [4 per cell]

Values from the calculation:
Formation energy (no corrections) = -132.2 kJ/mol of atoms

[10]
Below is U2PaN3 after structural relaxation, with properties calculated at the PBE level.

abc: 6.899 4.897 10.443
angles: 90.00 90.00 90.00
Space group Pnma (No. 62)
Asymmetric unit:
1 U 0.123 0.250 0.084 [4 per cell]
2 U 0.125 0.250 0.749 [4 per cell]
3 Pa 0.126 0.250 0.417 [4 per cell]
4 N 0.123 0.750 0.085 [4 per cell]
5 N 0.125 0.750 0.749 [4 per cell]
6 N 0.128 0.750 0.416 [4 per cell]

Values from the calculation:
Formation energy (no corrections) = -136.2 kJ/mol of atoms

[11]
Below is U3PaN6 after structural relaxation, with properties calculated at the PBE level.

abc: 5.7114 5.7114 11.3566
angles: 90.00 90.00 120.00
Space group P6_322 (No. 182)
Asymmetric unit:
1 U 0.0000 0.0000 0.0000 [2 per cell]
2 U 0.3333 0.6667 0.0496 [4 per cell]
3 Pa 0.3333 0.6667 0.7500 [2 per cell]
4 N 0.0411 0.3609 0.6144 [12 per cell]

Values from the calculation:
Formation energy (no corrections) = -106.4 kJ/mol of atoms